A relaxed structure of La2TmGa12Co3, computed with GGA-PBE.

Summary:
As for the density: 6.1 g/cm3. The total energy is -73.379 eV/cell. Its crystal system is trigonal. The value obtained for the formation enthalpy at 0 K is -78 meV per atom.

Lattice parameters (Å, degrees): 7.966 7.966 7.966 65.20 65.20 65.20
Last column: magnetic moment on the atom in μB.
Fractional coordinates of all 18 atoms:
Ga 0.161 0.161 0.540  0.00
La 0.583 0.583 0.583  0.04
Ga 0.274 0.274 0.909  0.00
Ga 0.839 0.460 0.839  0.00
Ga 0.091 0.726 0.726  0.00
Tm 0.000 0.000 0.000  0.01
Ga 0.540 0.161 0.161  0.00
Co 0.000 0.000 0.500  0.15
La 0.417 0.417 0.417  0.04
Ga 0.460 0.839 0.839  0.00
Co 0.500 0.000 0.000  0.15
Ga 0.839 0.839 0.460  0.00
Co 0.000 0.500 0.000  0.15
Ga 0.274 0.909 0.274  0.00
Ga 0.161 0.540 0.161  0.00
Ga 0.726 0.091 0.726  0.00
Ga 0.726 0.726 0.091  0.00
Ga 0.909 0.274 0.274  0.00

A relaxed structure of La2YGaCo, computed with GGA-PBE.

Summary:
As for the density: 5.8 g/cm3. The total energy is -27.368 eV/cell. Its crystal system is tetragonal. The value obtained for the formation enthalpy at 0 K is -183 meV per atom.

Lattice parameters (Å, degrees): 5.130 5.130 5.381 90.00 90.00 90.00
Fractional coordinates of all 5 atoms:
Co 0.000 0.000 0.000
Ga 0.500 0.500 0.500
La 0.500 0.000 0.000
Y 0.000 0.000 0.500
La 0.000 0.500 0.000

A relaxed structure of LaYGaCo, computed with GGA-PBE.

Summary:
As for the density: 6.4 g/cm3. The total energy is -22.506 eV/cell. Its crystal system is cubic. The value obtained for the formation enthalpy at 0 K is -245 meV per atom.

Lattice parameters (Å, degrees): 5.071 5.071 5.071 60.00 60.00 60.00
Last column: magnetic moment on the atom in μB.
Fractional coordinates of all 4 atoms:
La 0.250 0.250 0.250  -0.07
Co 0.500 0.500 0.500  1.24
Y 0.750 0.750 0.750  -0.09
Ga 0.000 0.000 0.000  0.06

A relaxed structure of LaYGa2Co2, computed with GGA-PBE.

Summary:
As for the density: 6.8 g/cm3. The total energy is -34.079 eV/cell. Its crystal system is trigonal. The value obtained for the formation enthalpy at 0 K is -404 meV per atom.

Lattice parameters (Å, degrees): 4.229 4.229 7.685 90.00 90.00 120.00
Fractional coordinates of all 6 atoms:
Co 0.333 0.667 0.731
Ga 0.333 0.667 0.271
Ga 0.667 0.333 0.729
Y 0.000 0.000 0.500
La 0.000 0.000 0.000
Co 0.667 0.333 0.269

A relaxed structure of La2ZnGaCo, computed with GGA-PBE.

Summary:
As for the density: 6.2 g/cm3. The total energy is -22.465 eV/cell. The energy above the most stable polymorph in this dataset comes out at 42 meV per atom. Its crystal system is tetragonal. The value obtained for the formation enthalpy at 0 K is -241 meV per atom.

Lattice parameters (Å, degrees): 5.179 5.179 4.688 90.00 90.00 90.00
Fractional coordinates of all 5 atoms:
Co 0.000 0.000 0.000
La 0.500 0.000 0.000
Ga 0.500 0.500 0.500
Zn 0.000 0.000 0.500
La 0.000 0.500 0.000

A relaxed structure of LaZnGa2Co, computed with GGA-PBE.

Summary:
As for the density: 6.9 g/cm3. The total energy is -21.525 eV/cell. Its crystal system is tetragonal. The value obtained for the formation enthalpy at 0 K is -433 meV per atom.

Lattice parameters (Å, degrees): 4.574 4.574 4.661 90.00 90.00 90.00
Fractional coordinates of all 5 atoms:
Co 0.000 0.000 0.000
Zn 0.000 0.000 0.500
La 0.500 0.500 0.500
Ga 0.500 0.000 0.000
Ga 0.000 0.500 0.000

A relaxed structure of LaZnGaCo2, computed with GGA-PBE.

Summary:
As for the density: 5.4 g/cm3. The total energy is -16.983 eV/cell. Its crystal system is tetragonal. The value obtained for the formation enthalpy at 0 K is 1291 meV per atom.

Lattice parameters (Å, degrees): 4.561 5.784 4.561 90.00 90.00 90.00
Last column: magnetic moment on the atom in μB.
Fractional coordinates of all 5 atoms:
Co 0.000 0.000 0.500  0.09
La 0.000 0.000 0.000  -0.03
Ga 0.000 0.500 0.000  -0.01
Co 0.500 0.000 0.000  0.08
Zn 0.500 0.500 0.500  0.00

A relaxed structure of La2ZnGa6Co, computed with GGA-PBE.

Summary:
As for the density: 6.4 g/cm3. The total energy is -38.928 eV/cell. Its crystal system is cubic. The value obtained for the formation enthalpy at 0 K is -253 meV per atom.

Lattice parameters (Å, degrees): 6.692 6.692 6.692 60.00 60.00 90.00
Fractional coordinates of all 10 atoms:
Co 0.000 0.000 0.000
Ga 0.244 0.244 0.000
Ga 0.244 0.756 0.000
Ga 0.756 0.756 0.489
La 0.750 0.250 0.500
Ga 0.244 0.244 0.511
Zn 0.500 0.500 0.000
Ga 0.756 0.756 0.000
Ga 0.756 0.244 0.000
La 0.250 0.750 0.500

A relaxed structure of La2ZnGaCo, computed with GGA-PBE.

Summary:
As for the density: 6.1 g/cm3. The total energy is -22.674 eV/cell. The energy above the most stable polymorph in this dataset comes out at 0 meV per atom. Its crystal system is tetragonal. The value obtained for the formation enthalpy at 0 K is -283 meV per atom.

Lattice parameters (Å, degrees): 5.270 5.270 4.593 90.00 90.00 90.00
Fractional coordinates of all 5 atoms:
Co 0.000 0.000 0.000
Zn 0.500 0.500 0.500
Ga 0.000 0.000 0.500
La 0.500 0.000 0.000
La 0.000 0.500 0.000

A relaxed structure of Li3Ga4Co2, computed with GGA-PBE.

Summary:
As for the density: 5.9 g/cm3. The total energy is -34.643 eV/cell. Its crystal system is trigonal. The value obtained for the formation enthalpy at 0 K is -287 meV per atom.

Lattice parameters (Å, degrees): 4.134 4.135 7.896 89.99 90.00 60.00
Fractional coordinates of all 9 atoms:
Ga 0.000 0.000 0.678
Co 0.667 0.667 0.205
Co 0.333 0.333 0.795
Li 0.667 0.667 0.548
Ga 0.667 0.667 0.884
Li 0.333 0.333 0.452
Li 0.000 0.000 0.000
Ga 0.333 0.333 0.116
Ga 0.000 0.000 0.322

A relaxed structure of LiGa3Co2, computed with GGA-PBE.

Summary:
As for the density: 7.3 g/cm3. The total energy is -26.810 eV/cell. The energy above the most stable polymorph in this dataset comes out at 0 meV per atom. Its crystal system is tetragonal. The value obtained for the formation enthalpy at 0 K is -267 meV per atom.

Lattice parameters (Å, degrees): 2.940 2.940 8.806 90.00 90.00 90.00
Last column: magnetic moment on the atom in μB.
Fractional coordinates of all 6 atoms:
Ga 0.000 0.000 0.680  -0.01
Co 0.500 0.500 0.163  0.45
Co 0.500 0.500 0.837  0.45
Ga 0.000 0.000 0.000  -0.02
Ga 0.000 0.000 0.320  -0.01
Li 0.500 0.500 0.500  0.01

A relaxed structure of LiGa2Co2, computed with GGA-PBE.

Summary:
As for the density: 5.8 g/cm3. The total energy is -21.906 eV/cell. The energy above the most stable polymorph in this dataset comes out at 281 meV per atom. Its crystal system is tetragonal. The value obtained for the formation enthalpy at 0 K is 55 meV per atom.

Lattice parameters (Å, degrees): 4.373 4.373 5.046 64.32 64.32 90.00
Last column: magnetic moment on the atom in μB.
Fractional coordinates of all 5 atoms:
Ga 0.250 0.750 0.500  -0.04
Co 0.634 0.634 0.732  0.80
Co 0.366 0.366 0.268  0.80
Li 0.000 0.000 0.000  0.00
Ga 0.750 0.250 0.500  -0.04

A relaxed structure of Li2GaCo2, computed with GGA-PBE.

Summary:
As for the density: 4.7 g/cm3. The total energy is -41.151 eV/cell. Its crystal system is tetragonal. The value obtained for the formation enthalpy at 0 K is 98 meV per atom.

Lattice parameters (Å, degrees): 5.921 5.921 4.020 90.00 90.00 90.00
Last column: magnetic moment on the atom in μB.
Fractional coordinates of all 10 atoms:
Ga 0.500 0.500 0.000  -0.09
Co 0.129 0.371 0.000  0.90
Li 0.832 0.332 0.500  -0.03
Co 0.871 0.629 0.000  0.90
Co 0.371 0.871 0.000  0.89
Ga 0.000 0.000 0.000  -0.09
Co 0.629 0.129 0.000  0.89
Li 0.668 0.832 0.500  -0.03
Li 0.332 0.168 0.500  -0.03
Li 0.168 0.668 0.500  -0.03